i:
Dy2Zn3Au5, relaxed, DFT GGA-PBE; calculated volume = 19.3 A^3/atom
1.0
2.205 -12.209 0.000
2.205 12.209 0.000
0.000 0.000 7.181
Dy Zn Au
4 6 10
Direct
0.024 0.976 0.500 Dy
0.320 0.680 0.598 Dy
0.680 0.320 0.098 Dy
0.976 0.024 0.000 Dy
0.122 0.878 0.762 Zn
0.284 0.716 0.155 Zn
0.454 0.546 0.707 Zn
0.546 0.454 0.207 Zn
0.716 0.284 0.655 Zn
0.878 0.122 0.262 Zn
0.098 0.902 0.134 Au
0.195 0.805 0.413 Au
0.224 0.776 0.856 Au
0.384 0.616 0.997 Au
0.446 0.554 0.333 Au
0.554 0.446 0.833 Au
0.616 0.384 0.497 Au
0.776 0.224 0.356 Au
0.805 0.195 0.913 Au
0.902 0.098 0.634 Au

---

ii:
Dy2Zn3Au5, relaxed, DFT GGA-PBE; calculated volume = 19.7 A^3/atom
1.0
-5.174 6.734 2.832
5.174 -6.734 2.832
5.174 6.734 -2.832
Dy Zn Au
4 6 10
Direct
0.147 0.220 0.367 Dy
0.353 0.720 0.073 Dy
0.647 0.280 0.927 Dy
0.853 0.780 0.633 Dy
0.153 0.915 0.069 Zn
0.250 0.750 0.500 Zn
0.347 0.415 0.762 Zn
0.653 0.585 0.238 Zn
0.750 0.250 0.500 Zn
0.847 0.085 0.931 Zn
0.051 0.750 0.301 Au
0.073 0.695 0.768 Au
0.250 0.250 0.000 Au
0.427 0.195 0.622 Au
0.449 0.750 0.699 Au
0.551 0.250 0.301 Au
0.573 0.805 0.378 Au
0.750 0.750 0.000 Au
0.927 0.305 0.232 Au
0.949 0.250 0.699 Au

---

Stability summary - winner: i; margin: 4.5 kJ/mol of atoms.

---

i:
Dy3Zn8Au3, relaxed, DFT GGA-PBE; calculated volume = 18.6 A^3/atom
1.0
7.884 -2.157 0.000
7.884 2.157 0.000
-5.268 0.000 7.657
Dy Zn Au
3 8 3
Direct
0.000 0.000 0.000 Dy
0.298 0.298 0.303 Dy
0.702 0.702 0.697 Dy
0.135 0.135 0.414 Zn
0.137 0.137 0.847 Zn
0.335 0.335 0.688 Zn
0.498 0.498 0.687 Zn
0.502 0.502 0.313 Zn
0.665 0.665 0.312 Zn
0.863 0.863 0.153 Zn
0.865 0.865 0.586 Zn
0.000 0.000 0.500 Au
0.343 0.343 0.976 Au
0.657 0.657 0.024 Au

---

ii:
Dy3Zn8Au3, relaxed, DFT GGA-PBE; calculated volume = 18.6 A^3/atom
1.0
-2.149 4.592 6.585
2.149 -4.592 6.585
2.149 4.592 -6.585
Dy Zn Au
3 8 3
Direct
0.000 0.000 0.000 Dy
0.315 0.315 0.000 Dy
0.685 0.685 0.000 Dy
0.042 0.678 0.364 Zn
0.142 0.867 0.275 Zn
0.314 0.678 0.636 Zn
0.408 0.133 0.275 Zn
0.592 0.867 0.725 Zn
0.686 0.322 0.364 Zn
0.858 0.133 0.725 Zn
0.958 0.322 0.636 Zn
0.268 0.500 0.768 Au
0.500 0.000 0.500 Au
0.732 0.500 0.232 Au

---

Stability summary - winner: i; margin: 3.1 kJ/mol of atoms.

---

i:
Dy3Zn2Au, relaxed, DFT GGA-PBE; calculated volume = 22.8 A^3/atom
1.0
3.585 0.000 0.000
0.000 3.585 0.000
0.000 0.000 10.664
Dy Zn Au
3 2 1
Direct
0.000 0.000 0.000 Dy
0.000 0.000 0.331 Dy
0.000 0.000 0.669 Dy
0.500 0.500 0.161 Zn
0.500 0.500 0.839 Zn
0.500 0.500 0.500 Au

---

ii:
Dy3Zn2Au, relaxed, DFT GGA-PBE; calculated volume = 22.9 A^3/atom
1.0
5.069 0.000 0.000
-2.534 4.389 0.000
0.000 0.000 6.186
Dy Zn Au
3 2 1
Direct
0.000 0.000 0.000 Dy
0.333 0.667 0.664 Dy
0.667 0.333 0.336 Dy
0.333 0.667 0.151 Zn
0.667 0.333 0.849 Zn
0.000 0.000 0.500 Au

---

Stability summary - winner: i; margin: 0.8 kJ/mol of atoms.

---

i:
Dy4ZnAu3, relaxed, DFT GGA-PBE; calculated volume = 23.1 A^3/atom
1.0
3.596 0.000 0.000
0.000 3.596 0.000
0.000 0.000 14.295
Dy Zn Au
4 1 3
Direct
0.000 0.000 0.123 Dy
0.000 0.000 0.373 Dy
0.000 0.000 0.627 Dy
0.000 0.000 0.877 Dy
0.500 0.500 0.000 Zn
0.500 0.500 0.245 Au
0.500 0.500 0.500 Au
0.500 0.500 0.755 Au

---

ii:
Dy4ZnAu3, relaxed, DFT GGA-PBE; calculated volume = 23.9 A^3/atom
1.0
3.719 0.000 0.000
0.000 4.664 0.000
0.000 0.000 11.021
Dy Zn Au
4 1 3
Direct
0.000 0.000 0.000 Dy
0.000 0.500 0.279 Dy
0.500 0.000 0.498 Dy
0.500 0.500 0.779 Dy
0.000 0.000 0.721 Zn
0.000 0.500 0.559 Au
0.500 0.000 0.228 Au
0.500 0.500 0.052 Au

---

Stability summary - winner: i; margin: 0.7 kJ/mol of atoms.

---

i:
DyZn2Au2, relaxed, DFT GGA-PBE; calculated volume = 19.8 A^3/atom
1.0
3.850 0.000 0.000
0.000 3.850 0.000
0.000 0.000 6.664
Dy Zn Au
1 2 2
Direct
0.000 0.000 0.000 Dy
0.000 0.500 0.500 Zn
0.500 0.000 0.500 Zn
0.500 0.500 0.212 Au
0.500 0.500 0.788 Au

---

ii:
DyZn2Au2, relaxed, DFT GGA-PBE; calculated volume = 19.3 A^3/atom
1.0
7.424 0.000 0.000
0.000 4.277 0.000
0.000 0.000 12.173
Dy Zn Au
4 8 8
Direct
0.131 0.250 0.187 Dy
0.369 0.750 0.687 Dy
0.631 0.250 0.313 Dy
0.869 0.750 0.813 Dy
0.036 0.250 0.440 Zn
0.206 0.250 0.874 Zn
0.294 0.750 0.374 Zn
0.464 0.750 0.940 Zn
0.536 0.250 0.060 Zn
0.706 0.250 0.626 Zn
0.794 0.750 0.126 Zn
0.964 0.750 0.560 Zn
0.072 0.250 0.672 Au
0.129 0.750 0.002 Au
0.371 0.250 0.502 Au
0.428 0.750 0.172 Au
0.572 0.250 0.828 Au
0.629 0.750 0.498 Au
0.871 0.250 0.998 Au
0.928 0.750 0.328 Au

---

Stability summary - winner: ii; margin: 3.1 kJ/mol of atoms.

---

i:
Dy3ZnAu, relaxed, DFT GGA-PBE; calculated volume = 26.7 A^3/atom
1.0
7.641 -5.169 0.000
7.641 5.169 0.000
-1.541 0.000 6.765
Dy Zn Au
12 4 4
Direct
0.043 0.299 0.045 Dy
0.110 0.732 0.510 Dy
0.268 0.890 0.990 Dy
0.299 0.043 0.545 Dy
0.361 0.395 0.928 Dy
0.395 0.361 0.428 Dy
0.605 0.639 0.572 Dy
0.639 0.605 0.072 Dy
0.701 0.957 0.455 Dy
0.732 0.110 0.010 Dy
0.890 0.268 0.490 Dy
0.957 0.701 0.955 Dy
0.105 0.430 0.636 Zn
0.430 0.105 0.136 Zn
0.570 0.895 0.864 Zn
0.895 0.570 0.364 Zn
0.027 0.973 0.250 Au
0.348 0.652 0.250 Au
0.652 0.348 0.750 Au
0.973 0.027 0.750 Au

---

ii:
Dy3ZnAu, relaxed, DFT GGA-PBE; calculated volume = 24.9 A^3/atom
1.0
2.538 -9.667 0.000
2.538 9.667 0.000
0.000 0.000 5.078
Dy Zn Au
6 2 2
Direct
0.065 0.935 0.750 Dy
0.249 0.751 0.750 Dy
0.432 0.568 0.750 Dy
0.568 0.432 0.250 Dy
0.751 0.249 0.250 Dy
0.935 0.065 0.250 Dy
0.154 0.846 0.250 Zn
0.846 0.154 0.750 Zn
0.339 0.661 0.250 Au
0.661 0.339 0.750 Au

---

Stability summary - winner: ii; margin: 11.2 kJ/mol of atoms.

---

i:
DyZrAu, relaxed, DFT GGA-PBE; calculated volume = 25.1 A^3/atom
1.0
4.692 0.000 0.000
-2.346 4.063 0.000
0.000 0.000 3.955
Dy Zr Au
1 1 1
Direct
0.000 0.000 0.000 Dy
0.333 0.667 0.500 Zr
0.667 0.333 0.500 Au

---

ii:
DyZrAu, relaxed, DFT GGA-PBE; calculated volume = 23.5 A^3/atom
1.0
-1.711 1.711 6.016
1.711 -1.711 6.016
1.711 1.711 -6.016
Dy Zr Au
1 1 1
Direct
0.000 0.000 0.000 Dy
0.688 0.688 0.000 Zr
0.329 0.329 0.000 Au

---

iii:
DyZrAu, relaxed, DFT GGA-PBE; calculated volume = 24.2 A^3/atom
1.0
4.418 0.000 0.000
0.000 4.418 0.000
0.000 0.000 7.447
Dy Zr Au
2 2 2
Direct
0.250 0.250 0.143 Dy
0.750 0.750 0.857 Dy
0.250 0.750 0.500 Zr
0.750 0.250 0.500 Zr
0.250 0.250 0.762 Au
0.750 0.750 0.238 Au

---

Stability summary - winner: iii; margin: 5.8 kJ/mol of atoms.

---

i:
Er2Au13, relaxed, DFT GGA-PBE; calculated volume = 20.6 A^3/atom
1.0
3.715 2.145 6.449
-3.715 2.145 6.449
0.000 -4.290 6.449
Er Au
2 13
Direct
0.163 0.163 0.163 Er
0.837 0.837 0.837 Er
0.000 0.000 0.000 Au
0.162 0.162 0.542 Au
0.162 0.542 0.162 Au
0.302 0.691 0.691 Au
0.309 0.309 0.698 Au
0.309 0.698 0.309 Au
0.458 0.838 0.838 Au
0.542 0.162 0.162 Au
0.691 0.302 0.691 Au
0.691 0.691 0.302 Au
0.698 0.309 0.309 Au
0.838 0.458 0.838 Au
0.838 0.838 0.458 Au

---

ii:
Er2Au13, relaxed, DFT GGA-PBE; calculated volume = 24.4 A^3/atom
1.0
3.916 2.261 6.894
-3.916 2.261 6.894
0.000 -4.521 6.894
Er Au
2 13
Direct
0.233 0.233 0.233 Er
0.767 0.767 0.767 Er
0.000 0.000 0.000 Au
0.015 0.015 0.645 Au
0.015 0.645 0.015 Au
0.235 0.235 0.593 Au
0.235 0.593 0.235 Au
0.355 0.985 0.985 Au
0.407 0.765 0.765 Au
0.593 0.235 0.235 Au
0.645 0.015 0.015 Au
0.765 0.407 0.765 Au
0.765 0.765 0.407 Au
0.985 0.355 0.985 Au
0.985 0.985 0.355 Au

---

Stability summary - winner: i; margin: 5.8 kJ/mol of atoms.

---

i:
Er4Au, relaxed, DFT GGA-PBE; calculated volume = 33.3 A^3/atom
1.0
5.503 0.000 0.000
0.000 5.503 0.000
0.000 0.000 5.503
Er Au
4 1
Direct
0.000 0.000 0.000 Er
0.000 0.500 0.500 Er
0.500 0.000 0.500 Er
0.500 0.500 0.000 Er
0.500 0.500 0.500 Au

---

ii:
Er4Au, relaxed, DFT GGA-PBE; calculated volume = 29.4 A^3/atom
1.0
0.000 6.711 3.724
5.884 0.000 3.724
5.884 6.711 0.000
Er Au
8 2
Direct
0.034 0.966 0.190 Er
0.060 0.440 0.216 Er
0.102 0.506 0.763 Er
0.440 0.060 0.284 Er
0.487 0.622 0.148 Er
0.506 0.102 0.628 Er
0.622 0.487 0.744 Er
0.966 0.034 0.810 Er
0.648 0.648 0.352 Au
0.898 0.898 0.602 Au

---

Stability summary - winner: ii; margin: 20.8 kJ/mol of atoms.

---

i:
EuErAu, relaxed, DFT GGA-PBE; calculated volume = 29.2 A^3/atom
1.0
4.943 0.000 0.000
-2.471 4.280 0.000
0.000 0.000 4.135
Eu Er Au
1 1 1
Direct
0.000 0.000 0.000 Eu
0.667 0.333 0.510 Er
0.333 0.667 0.435 Au

---

ii:
EuErAu, relaxed, DFT GGA-PBE; calculated volume = 30.5 A^3/atom
1.0
0.000 3.578 3.578
3.578 0.000 3.578
3.578 3.578 0.000
Eu Er Au
1 1 1
Direct
0.000 0.000 0.000 Eu
0.500 0.500 0.500 Er
0.250 0.250 0.250 Au

---

Stability summary - winner: ii; margin: 1.5 kJ/mol of atoms.

---

i:
Eu2ErAu, relaxed, DFT GGA-PBE; calculated volume = 31.2 A^3/atom
1.0
3.740 0.000 0.000
0.000 3.740 0.000
0.000 0.000 8.926
Eu Er Au
2 1 1
Direct
0.000 0.000 0.203 Eu
0.000 0.000 0.797 Eu
0.500 0.500 0.500 Er
0.500 0.500 0.000 Au

---

ii:
Eu2ErAu, relaxed, DFT GGA-PBE; calculated volume = 33.7 A^3/atom
1.0
1.858 1.072 11.273
-1.858 1.072 11.273
0.000 -2.145 11.273
Eu Er Au
2 1 1
Direct
0.102 0.102 0.102 Eu
0.898 0.898 0.898 Eu
0.000 0.000 0.000 Er
0.500 0.500 0.500 Au

---

Stability summary - winner: i; margin: 26.1 kJ/mol of atoms.